# 1
Below is a geometry-optimized KRbTeN2 structure, with properties calculated at the GGA-PBE level.

Output
The calculation puts the uncorrected energy at -2.897 eV/atom. The space-group type is P4/mmm. The calculation puts the density of states at the Fermi level at 5.468 states/eV/f.u. As for the volume: 44.222 Å³/atom. The calculation puts the energy relative to the elements, uncorrected at 1.4748 eV per atom.

Unit cell a=5.569 b=5.569 c=7.130 alpha=90.00 beta=90.00 gamma=90.00
Atoms (fractional coordinates):
N1 0.500 0.000 0.000
N2 0.000 0.500 0.000
Rb1 0.000 0.000 0.000
K1 0.500 0.500 0.500
Te1 0.000 0.000 0.500

# 2
Below is a geometry-optimized NbCrB structure, with properties calculated at the GGA-PBE level.

Output
The calculation puts the uncorrected energy at -8.902 eV/atom. The space-group type is Cm. For the formation energy, the calculation gives -0.11 eV/atom. The calculation puts the density of states at the Fermi level at 1.270 states/eV/f.u. As for the volume: 12.547 Å³/atom.

Unit cell a=4.672 b=3.145 c=5.198 alpha=90.00 beta=99.65 gamma=90.00
Atoms (fractional coordinates):
B1 0.046 0.000 0.638
B2 0.046 0.500 0.138
Cr1 0.825 0.000 0.939
Cr2 0.825 0.500 0.439
Nb1 0.356 0.500 0.850
Nb2 0.356 0.000 0.350

# 3
Below is a geometry-optimized CaDy5Ag6 structure, with properties calculated at the GGA-PBE level.

Output
The calculation puts the uncorrected energy at -3.831 eV/atom. The space-group type is Cmmm. For the formation energy, the calculation gives -0.32 eV/atom. The calculation puts the density of states at the Fermi level at 5.545 states/eV/f.u. As for the volume: 24.165 Å³/atom.

Unit cell a=5.152 b=7.262 c=8.168 alpha=90.00 beta=71.62 gamma=90.00
Atoms (fractional coordinates):
Dy1 0.000 0.500 0.000
Dy2 0.666 0.000 0.667
Dy3 0.334 0.500 0.331
Dy4 0.334 0.000 0.333
Dy5 0.666 0.500 0.669
Ag1 0.500 0.742 0.000
Ag2 0.830 0.746 0.340
Ag3 0.830 0.254 0.340
Ag4 0.170 0.254 0.660
Ag5 0.500 0.258 0.000
Ag6 0.170 0.746 0.660
Ca1 0.000 0.000 0.000